Entry 1:
Entry from Alexandria: AcIn6Ni3 after structural relaxation (PBE).

The structure belongs to space group P2_1/m (No. 11); the cell edges are 8.2898, 4.4292 and 12.1192 Å and the angles 90.00°, 100.12° and 90.00°. The asymmetric unit holds Ac at (0.0244, 0.2500, 0.2196), In at (0.0951, 0.2500, 0.5795), In at (0.2289, 0.7500, 0.0487), In at (0.3528, 0.7500, 0.6970), In at (0.3577, 0.7500, 0.2839), In at (0.3705, 0.2500, 0.8943), In at (0.3838, 0.2500, 0.4601), Ni at (0.0931, 0.2500, 0.9745), Ni at (0.2267, 0.7500, 0.4805) and Ni at (0.4003, 0.2500, 0.1369).

Its formation energy is -16.0 kJ/mol of atoms. Its density of states at the Fermi level is 4.257 states/eV/f.u. Its electronic total energy is -79.1 eV for the cell shown.

***

Entry 2:
Entry from Alexandria: Ac6In3Ni after structural relaxation (PBE).

The structure belongs to space group R-3m (No. 166, hexagonal axes); the cell edges are 12.7789, 12.7789 and 15.9447 Å and the angles 90.00°, 90.00° and 120.00°. The asymmetric unit holds Ac at (0.0975, 0.1949, 0.3826), Ac at (0.1074, 0.2149, 0.1068), In at (0.0496, 0.5248, 0.4148), Ni at (0.0000, 0.0000, 0.0000) and Ni at (0.0000, 0.0000, 0.5000).

Its formation energy is -20.2 kJ/mol of atoms. Its density of states at the Fermi level is 10.340 states/eV/f.u. Its electronic total energy is -244.4 eV for the cell shown.

***

Entry 3:
Entry from Alexandria: Ac3InNi8 after structural relaxation (PBE).

The structure belongs to space group R3m (No. 160, hexagonal axes); the cell edges are 5.2625, 5.2625 and 25.9346 Å and the angles 90.00°, 90.00° and 120.00°. The asymmetric unit holds Ac at (0.0000, 0.0000, 0.0000), Ac at (0.0000, 0.0000, 0.1275), Ac at (0.0000, 0.0000, 0.6155), In at (0.0000, 0.0000, 0.4925), Ni at (0.0000, 0.0000, 0.3105), Ni at (0.0000, 0.0000, 0.8113), Ni at (0.0024, 0.5012, 0.0626) and Ni at (0.0031, 0.5016, 0.5586).

Its formation energy is -16.6 kJ/mol of atoms. Its density of states at the Fermi level is 8.374 states/eV/f.u. Its electronic total energy is -190.1 eV for the cell shown.